(1)
A plane-wave DFT calculation with PBE was carried out for a relaxed Y2ThRh9 crystal.

Lattice parameters (Å, degrees): 5.2784 5.2784 9.3313 73.57 73.57 60.00
With the nearest neighbours (Å) after each atom.
Sites, in units of the cell vectors:
Y (0.8599, 0.8599, 0.4203)  12 Rh 3.04-3.28, 3 Y 3.36
Y (0.1401, 0.1401, 0.5797)  12 Rh 3.04-3.28, 3 Y 3.36
Th (0.0000, 0.0000, 0.0000)  6 Rh 3.05
Rh (0.6669, 0.6669, 0.9992)  6 Rh 2.67-2.69
Rh (0.3331, 0.3331, 0.0008)  6 Rh 2.67-2.69
Rh (0.5000, 0.5000, 0.5000)  6 Rh 2.68
Rh (0.4164, 0.4164, 0.2498)  7 Rh 2.63-2.69
Rh (0.9174, 0.4164, 0.2498)  7 Rh 2.63-2.69
Rh (0.4164, 0.9174, 0.2498)  7 Rh 2.63-2.69
Rh (0.5836, 0.5836, 0.7502)  7 Rh 2.63-2.69
Rh (0.5836, 0.0826, 0.7502)  7 Rh 2.63-2.69
Rh (0.0826, 0.5836, 0.7502)  7 Rh 2.63-2.69

Values from the calculation:
Total energy in eV per atom: -7.8242
Energy of formation from the pure elements in eV per atom: -0.61
ρ in g/cm³: 10.42
Space-group type: R-3m, No. 166



(2)
A plane-wave DFT calculation with PBE was carried out for a relaxed ErZn2GaCu4 crystal.

Lattice parameters (Å, degrees): 4.2108 4.2108 8.4204 75.52 75.52 60.00
With the nearest neighbours (Å) after each atom.
Sites, in units of the cell vectors:
Er (0.0000, 0.0000, 0.0000)  8 Cu 2.91-3.11, 6 Zn 3.20
Zn (0.7530, 0.7530, 0.7411)  6 Cu 2.48-2.64
Zn (0.2470, 0.2470, 0.2589)  6 Cu 2.48-2.64
Ga (0.5000, 0.5000, 0.5000)  8 Cu 2.43-2.60
Cu (0.3997, 0.3997, 0.8010)  1 Ga 2.43, 3 Zn 2.48
Cu (0.8716, 0.8716, 0.3852)  3 Ga 2.60, 4 Zn 2.64-2.87, 3 Cu 2.86
Cu (0.1284, 0.1284, 0.6148)  3 Ga 2.60, 4 Zn 2.64-2.87, 3 Cu 2.86
Cu (0.6003, 0.6003, 0.1990)  1 Ga 2.43, 3 Zn 2.48

Values from the calculation:
Total energy in eV per atom: -3.4678
Energy of formation from the pure elements in eV per atom: -0.15
ρ in g/cm³: 8.34
Space-group type: R-3m, No. 166



(3)
A plane-wave DFT calculation with PBE was carried out for a relaxed Ta6MnOs5 crystal.

Lattice parameters (Å, degrees): 4.5654 6.1615 7.0447 90.00 104.36 90.00
With the nearest neighbours (Å) after each atom.
Sites, in units of the cell vectors:
Mn (0.0000, 0.0000, 0.0000)  8 Ta 2.69-2.74
Os (0.6907, 0.5000, 0.3444)  8 Ta 2.74-2.83
Os (0.3129, 0.0000, 0.6593)  8 Ta 2.74-2.79
Os (0.0000, 0.5000, 0.0000)  8 Ta 2.71-2.77
Os (0.6871, 0.0000, 0.3407)  8 Ta 2.74-2.79
Os (0.3093, 0.5000, 0.6556)  8 Ta 2.74-2.83
Ta (0.8238, 0.7517, 0.6770)  1 Mn 2.69, 7 Os 2.71-2.79, 1 Ta 3.01
Ta (0.8238, 0.2482, 0.6770)  1 Mn 2.69, 7 Os 2.71-2.79, 1 Ta 3.01
Ta (0.5000, 0.2465, 0.0000)  2 Mn 2.74, 6 Os 2.77-2.83, 3 Ta 3.01-3.04
Ta (0.5000, 0.7535, 0.0000)  2 Mn 2.74, 6 Os 2.77-2.83, 3 Ta 3.01-3.04
Ta (0.1762, 0.7518, 0.3230)  1 Mn 2.69, 7 Os 2.71-2.79, 1 Ta 3.01
Ta (0.1762, 0.2483, 0.3230)  1 Mn 2.69, 7 Os 2.71-2.79, 1 Ta 3.01

Values from the calculation:
Total energy in eV per atom: -11.6291
Energy of formation from the pure elements in eV per atom: -0.26
ρ in g/cm³: 18.09
Space-group type: P2/m, No. 10



(4)
A plane-wave DFT calculation with PBE was carried out for a relaxed LaPrTe3 crystal.

Lattice parameters (Å, degrees): 4.5204 7.8058 10.0030 90.00 90.00 90.00
With the nearest neighbours (Å) after each atom.
Sites, in units of the cell vectors:
La (0.5000, 0.0000, 0.1518)  6 Te 3.16-3.37
La (0.0000, 0.5000, 0.8482)  6 Te 3.16-3.37
Pr (0.0000, 0.0000, 0.5997)  7 Te 3.19-3.32
Pr (0.5000, 0.5000, 0.4003)  7 Te 3.19-3.32
Te (0.0000, 0.7728, 0.3273)  3 Pr 3.19-3.25, 2 La 3.37, 1 Te 3.55
Te (0.5000, 0.7272, 0.6727)  3 Pr 3.19-3.25, 2 La 3.37, 1 Te 3.55
Te (0.5000, 0.2728, 0.6727)  3 Pr 3.19-3.25, 2 La 3.37, 1 Te 3.55
Te (0.0000, 0.2272, 0.3273)  3 Pr 3.19-3.25, 2 La 3.37, 1 Te 3.55
Te (0.0000, 0.0000, 0.9311)  2 La 3.16, 1 Pr 3.32
Te (0.5000, 0.5000, 0.0689)  2 La 3.16, 1 Pr 3.32

Values from the calculation:
Total energy in eV per atom: -5.3050
ρ in g/cm³: 6.23
Offset from the most stable computed form in meV per atom: 0
Space-group type: Pmmn, No. 59
ΔE_f (raw) in eV/atom: -1.479



(5)
A plane-wave DFT calculation with PBE was carried out for a relaxed AlFeRh4 crystal.

Lattice parameters (Å, degrees): 5.0689 5.0689 5.0689 60.00 60.00 60.00
With the nearest neighbours (Å) after each atom.
Sites, in units of the cell vectors:
Al (0.7500, 0.7500, 0.7500)  12 Rh 2.97, 4 Fe 3.10
Fe (0.0000, 0.0000, 0.0000)  12 Rh 2.97, 4 Al 3.10
Rh (0.8747, 0.3751, 0.3751)  6 Rh 2.53-2.54
Rh (0.3751, 0.3751, 0.8747)  6 Rh 2.53-2.54
Rh (0.3751, 0.8747, 0.3751)  6 Rh 2.53-2.54
Rh (0.3751, 0.3751, 0.3751)  6 Rh 2.53-2.54

Values from the calculation:
Total energy in eV per atom: -6.8183
Energy of formation from the pure elements in eV per atom: 0.12
ρ in g/cm³: 8.92
Space-group type: F-43m, No. 216



(6)
A plane-wave DFT calculation with PBE was carried out for a relaxed TbPaGa crystal.

Lattice parameters (Å, degrees): 3.2460 3.2460 7.3032 102.84 102.84 90.00
With the nearest neighbours (Å) after each atom.
Sites, in units of the cell vectors:
Pa (0.3178, 0.3178, 0.6356)  4 Ga 3.10, 4 Pa 3.25
Tb (0.0147, 0.0147, 0.0294)  4 Ga 3.12, 4 Tb 3.25
Ga (0.6675, 0.6675, 0.3350)  4 Pa 3.10, 4 Tb 3.12, 4 Ga 3.25

Values from the calculation:
Total energy in eV per atom: -5.8437
Energy of formation from the pure elements in eV per atom: -0.13
ρ in g/cm³: 10.45
Offset from the most stable computed form in meV per atom: 0
Space-group type: I4mm, No. 107



(7)
A plane-wave DFT calculation with PBE was carried out for a relaxed TlRe2RuO8 crystal.

Lattice parameters (Å, degrees): 5.5458 5.5458 8.0057 90.00 90.00 120.00
With the nearest neighbours (Å) after each atom.
Sites, in units of the cell vectors:
Tl (0.0000, 0.0000, 0.0000)  12 O 3.23-3.24
Re (0.6667, 0.3333, 0.2772)  4 O 1.77-1.80
Re (0.3333, 0.6667, 0.7228)  4 O 1.77-1.80
Ru (0.0000, 0.0000, 0.5000)  6 O 2.04
O (0.3333, 0.6667, 0.9434)  1 Re 1.77
O (0.3265, 0.2513, 0.3488)  1 Re 1.80
O (0.7487, 0.0752, 0.3488)  1 Re 1.80
O (0.6667, 0.3333, 0.0566)  1 Re 1.77
O (0.2513, 0.9248, 0.6512)  1 Re 1.80
O (0.6735, 0.7487, 0.6512)  1 Re 1.80
O (0.0752, 0.3265, 0.6512)  1 Re 1.80
O (0.9248, 0.6735, 0.3488)  1 Re 1.80

Values from the calculation:
Total energy in eV per atom: -7.6130
ρ in g/cm³: 6.28
Space-group type: P-3, No. 147
ΔE_f (raw) in eV/atom: -1.263



(8)
A plane-wave DFT calculation with PBE was carried out for a relaxed La2TbP3 crystal.

Lattice parameters (Å, degrees): 4.2040 4.2040 9.3785 102.96 102.96 89.98
With the nearest neighbours (Å) after each atom.
Sites, in units of the cell vectors:
La (0.0993, 0.1006, 0.2040)  6 P 2.94-3.07
La (0.7692, 0.7706, 0.5439)  6 P 2.94-3.07
Tb (0.4342, 0.4358, 0.8740)  6 P 2.89-2.97
P (0.9341, 0.9359, 0.8740)  2 La 2.94, 4 Tb 2.97
P (0.2716, 0.2730, 0.5487)  1 Tb 2.89, 5 La 2.97-3.07
P (0.5969, 0.5982, 0.1992)  1 Tb 2.89, 5 La 2.97-3.07

Values from the calculation:
Total energy in eV per atom: -6.6791
Energy of formation from the pure elements in eV per atom: -1.56
ρ in g/cm³: 5.59
Space-group type: I4/mmm, No. 139